First-principles (PBE-GGA) data for a relaxed Nd2ZnGe crystal, as listed in Alexandria.

Values from the calculation:
**ρ**: 6.87 Mg/m³
**DFT formation energy**: -572 meV per atom

a b c (Å): 6.0630 4.1803 8.6602
angles (deg): 90.00 109.98 90.00
With the nearest neighbours (Å) after each atom.
Positions (direct):
Nd (0.2103, 0.2500, 0.4213)  3 Zn 3.12-3.24, 4 Ge 3.13-3.28
Nd (0.2844, 0.7500, 0.0629)  4 Zn 3.11-3.38, 3 Ge 3.16-3.28
Nd (0.7156, 0.2500, 0.9371)  4 Zn 3.11-3.38, 3 Ge 3.16-3.28
Nd (0.7897, 0.7500, 0.5787)  3 Zn 3.12-3.24, 4 Ge 3.13-3.28
Zn (0.1564, 0.2500, 0.7805)  2 Ge 2.63
Zn (0.8436, 0.7500, 0.2195)  2 Ge 2.63
Ge (0.3644, 0.7500, 0.7070)  2 Zn 2.63
Ge (0.6356, 0.2500, 0.2930)  2 Zn 2.63

***

First-principles (PBE-GGA) data for a relaxed NdZnGe2 crystal, as listed in Alexandria.

Values from the calculation:
**ρ**: 7.03 Mg/m³
**DFT formation energy**: -486 meV per atom

a b c (Å): 4.1554 4.1554 19.4275
angles (deg): 90.00 90.00 90.00
With the nearest neighbours (Å) after each atom.
Positions (direct):
Nd (0.0000, 0.0000, 0.1165)  8 Ge 3.07-3.09, 4 Zn 3.32
Nd (0.0000, 0.0000, 0.8835)  8 Ge 3.07-3.09, 4 Zn 3.32
Nd (0.5000, 0.5000, 0.3835)  8 Ge 3.07-3.09, 4 Zn 3.32
Nd (0.5000, 0.5000, 0.6165)  8 Ge 3.07-3.09, 4 Zn 3.32
Zn (0.0000, 0.5000, 0.2500)  4 Ge 2.65, 4 Zn 2.94
Zn (0.0000, 0.5000, 0.7500)  4 Ge 2.65, 4 Zn 2.94
Zn (0.5000, 0.0000, 0.2500)  4 Ge 2.65, 4 Zn 2.94
Zn (0.5000, 0.0000, 0.7500)  4 Ge 2.65, 4 Zn 2.94
Ge (0.0000, 0.0000, 0.3349)  4 Zn 2.65
Ge (0.0000, 0.0000, 0.6651)  4 Zn 2.65
Ge (0.0000, 0.5000, 0.0000)  4 Ge 2.94, 4 Nd 3.07
Ge (0.0000, 0.5000, 0.5000)  4 Ge 2.94, 4 Nd 3.07
Ge (0.5000, 0.0000, 0.0000)  4 Ge 2.94, 4 Nd 3.07
Ge (0.5000, 0.0000, 0.5000)  4 Ge 2.94, 4 Nd 3.07
Ge (0.5000, 0.5000, 0.1651)  4 Zn 2.65
Ge (0.5000, 0.5000, 0.8349)  4 Zn 2.65

***

First-principles (PBE-GGA) data for a relaxed Nd3ZnGe2 crystal, as listed in Alexandria.

Values from the calculation:
**ρ**: 6.90 Mg/m³
**DFT formation energy**: -673 meV per atom

a b c (Å): 11.9677 4.3335 11.9402
angles (deg): 90.00 90.00 90.00
With the nearest neighbours (Å) after each atom.
Positions (direct):
Nd (0.0586, 0.2500, 0.1199)  1 Zn 3.02, 5 Ge 3.06-3.29
Nd (0.1250, 0.7500, 0.5644)  5 Ge 3.14-3.20, 3 Zn 3.27
Nd (0.2004, 0.2500, 0.8029)  2 Zn 2.98, 4 Ge 3.06-3.29
Nd (0.2996, 0.7500, 0.3029)  2 Zn 2.98, 4 Ge 3.06-3.29
Nd (0.3750, 0.2500, 0.0644)  5 Ge 3.14-3.20, 3 Zn 3.27
Nd (0.4414, 0.7500, 0.6199)  1 Zn 3.02, 5 Ge 3.06-3.29
Nd (0.5586, 0.2500, 0.3801)  1 Zn 3.02, 5 Ge 3.06-3.29
Nd (0.6250, 0.7500, 0.9356)  5 Ge 3.14-3.20, 3 Zn 3.27
Nd (0.7004, 0.2500, 0.6971)  2 Zn 2.98, 4 Ge 3.06-3.29
Nd (0.7996, 0.7500, 0.1971)  2 Zn 2.98, 4 Ge 3.06-3.29
Nd (0.8750, 0.2500, 0.4356)  5 Ge 3.14-3.20, 3 Zn 3.27
Nd (0.9414, 0.7500, 0.8801)  1 Zn 3.02, 5 Ge 3.06-3.29
Zn (0.1380, 0.2500, 0.3603)  3 Ge 2.60-2.62
Zn (0.3620, 0.7500, 0.8603)  3 Ge 2.60-2.62
Zn (0.6380, 0.2500, 0.1397)  3 Ge 2.60-2.62
Zn (0.8620, 0.7500, 0.6397)  3 Ge 2.60-2.62
Ge (0.0249, 0.7500, 0.3191)  2 Zn 2.60
Ge (0.1908, 0.7500, 0.9965)  1 Zn 2.62
Ge (0.3092, 0.2500, 0.4965)  1 Zn 2.62
Ge (0.4751, 0.2500, 0.8191)  2 Zn 2.60
Ge (0.5249, 0.7500, 0.1809)  2 Zn 2.60
Ge (0.6908, 0.7500, 0.5035)  1 Zn 2.62
Ge (0.8092, 0.2500, 0.0035)  1 Zn 2.62
Ge (0.9751, 0.2500, 0.6809)  2 Zn 2.60

***

First-principles (PBE-GGA) data for a relaxed Nd3Zn6Ge5 crystal, as listed in Alexandria.

Values from the calculation:
**ρ**: 7.19 Mg/m³
**DFT formation energy**: -454 meV per atom

a b c (Å): 4.1836 12.5530 10.4575
angles (deg): 90.00 90.00 90.00
With the nearest neighbours (Å) after each atom.
Positions (direct):
Nd (0.2500, 0.0822, 0.2495)  6 Ge 3.08-3.19, 6 Zn 3.16-3.32
Nd (0.2500, 0.4178, 0.2495)  6 Ge 3.08-3.19, 6 Zn 3.16-3.32
Nd (0.2500, 0.7500, 0.2454)  6 Ge 3.19-3.28, 10 Zn 3.25-3.51
Nd (0.7500, 0.2500, 0.7546)  6 Ge 3.19-3.28, 10 Zn 3.25-3.51
Nd (0.7500, 0.5822, 0.7505)  6 Ge 3.08-3.19, 6 Zn 3.16-3.32
Nd (0.7500, 0.9178, 0.7505)  6 Ge 3.08-3.19, 6 Zn 3.16-3.32
Zn (0.2500, 0.0823, 0.8824)  4 Ge 2.52-2.64, 1 Zn 2.57
Zn (0.2500, 0.2500, 0.0237)  2 Zn 2.57, 4 Ge 2.71
Zn (0.2500, 0.2500, 0.4939)  4 Ge 2.60-2.73, 4 Zn 2.88
Zn (0.2500, 0.4177, 0.8824)  4 Ge 2.52-2.64, 1 Zn 2.57
Zn (0.2500, 0.5918, 0.5046)  4 Ge 2.60-2.66, 2 Zn 2.88
Zn (0.2500, 0.9082, 0.5046)  4 Ge 2.60-2.66, 2 Zn 2.88
Zn (0.7500, 0.0918, 0.4954)  4 Ge 2.60-2.66, 2 Zn 2.88
Zn (0.7500, 0.4082, 0.4954)  4 Ge 2.60-2.66, 2 Zn 2.88
Zn (0.7500, 0.5823, 0.1176)  4 Ge 2.52-2.64, 1 Zn 2.57
Zn (0.7500, 0.7500, 0.5061)  4 Ge 2.60-2.73, 4 Zn 2.88
Zn (0.7500, 0.7500, 0.9763)  2 Zn 2.57, 4 Ge 2.71
Zn (0.7500, 0.9177, 0.1176)  4 Ge 2.52-2.64, 1 Zn 2.57
Ge (0.2500, 0.0831, 0.6419)  5 Zn 2.52-2.62
Ge (0.2500, 0.4169, 0.6419)  5 Zn 2.52-2.62
Ge (0.2500, 0.6123, 0.9785)  5 Zn 2.58-2.71
Ge (0.2500, 0.7500, 0.6732)  4 Zn 2.66-2.73
Ge (0.2500, 0.8877, 0.9785)  5 Zn 2.58-2.71
Ge (0.7500, 0.1123, 0.0215)  5 Zn 2.58-2.71
Ge (0.7500, 0.2500, 0.3268)  4 Zn 2.66-2.73
Ge (0.7500, 0.3877, 0.0215)  5 Zn 2.58-2.71
Ge (0.7500, 0.5831, 0.3581)  5 Zn 2.52-2.62
Ge (0.7500, 0.9169, 0.3581)  5 Zn 2.52-2.62

***

First-principles (PBE-GGA) data for a relaxed Nd4Zn3Ge crystal, as listed in Alexandria.

Values from the calculation:
**ρ**: 7.02 Mg/m³
**DFT formation energy**: -418 meV per atom

a b c (Å): 9.0647 9.0647 9.0647
angles (deg): 33.32 33.32 33.32
With the nearest neighbours (Å) after each atom.
Positions (direct):
Nd (0.1231, 0.1231, 0.1231)  7 Zn 3.10-3.20, 1 Ge 3.16
Nd (0.3734, 0.3734, 0.3734)  3 Ge 3.17, 5 Zn 3.25-3.32
Nd (0.6266, 0.6266, 0.6266)  3 Ge 3.17, 5 Zn 3.25-3.32
Nd (0.8769, 0.8769, 0.8769)  7 Zn 3.10-3.20, 1 Ge 3.16
Zn (0.2439, 0.2439, 0.2439)  8 Nd 3.10-3.32
Zn (0.5000, 0.5000, 0.5000)  8 Nd 3.20-3.25
Zn (0.7561, 0.7561, 0.7561)  8 Nd 3.10-3.32
Ge (0.0000, 0.0000, 0.0000)  8 Nd 3.16-3.17

***

First-principles (PBE-GGA) data for a relaxed NdZn3Ge2 crystal, as listed in Alexandria.

Values from the calculation:
**ρ**: 6.81 Mg/m³
**DFT formation energy**: -297 meV per atom

a b c (Å): 7.9684 7.9684 8.4265
angles (deg): 119.98 119.98 31.17
With the nearest neighbours (Å) after each atom.
Positions (direct):
Nd (0.1502, 0.1502, 0.2249)  7 Ge 3.07-3.30, 2 Zn 3.21
Nd (0.8498, 0.8498, 0.7751)  7 Ge 3.07-3.30, 2 Zn 3.21
Zn (0.0683, 0.0683, 0.7539)  3 Ge 2.53-2.62, 1 Zn 2.77
Zn (0.2790, 0.2790, 0.9702)  2 Zn 2.47, 2 Ge 2.57
Zn (0.4157, 0.4157, 0.5217)  3 Ge 2.51-2.59, 1 Zn 2.80
Zn (0.5843, 0.5843, 0.4783)  3 Ge 2.51-2.59, 1 Zn 2.80
Zn (0.7210, 0.7210, 0.0298)  2 Zn 2.47, 2 Ge 2.57
Zn (0.9317, 0.9317, 0.2461)  3 Ge 2.53-2.62, 1 Zn 2.77
Ge (0.1791, 0.1791, 0.6132)  4 Zn 2.51-2.57
Ge (0.4735, 0.4735, 0.1191)  1 Ge 2.53, 4 Zn 2.57-2.62
Ge (0.5265, 0.5265, 0.8809)  1 Ge 2.53, 4 Zn 2.57-2.62
Ge (0.8209, 0.8209, 0.3868)  4 Zn 2.51-2.57

***

First-principles (PBE-GGA) data for a relaxed Nd3ZnGe crystal, as listed in Alexandria.

Values from the calculation:
**ρ**: 6.79 Mg/m³
**DFT formation energy**: -403 meV per atom

a b c (Å): 4.2657 7.5396 8.9862
angles (deg): 89.29 89.04 74.90
With the nearest neighbours (Å) after each atom.
Positions (direct):
Nd (0.0403, 0.4045, 0.1750)  4 Ge 3.14-3.27, 1 Zn 3.21, 1 Nd 3.43
Nd (0.2407, 0.0183, 0.8229)  3 Ge 3.06-3.11, 2 Zn 3.19-3.29
Nd (0.3844, 0.6909, 0.4038)  3 Zn 2.96-3.04, 1 Ge 3.04, 1 Nd 3.27
Nd (0.6156, 0.3091, 0.5962)  3 Zn 2.96-3.04, 1 Ge 3.04, 1 Nd 3.27
Nd (0.7593, 0.9817, 0.1771)  3 Ge 3.06-3.11, 2 Zn 3.19-3.29
Nd (0.9597, 0.5955, 0.8250)  4 Ge 3.14-3.27, 1 Zn 3.21, 1 Nd 3.43
Zn (0.2167, 0.0962, 0.4313)  2 Zn 2.78-2.89, 3 Nd 2.96-3.04
Zn (0.7833, 0.9038, 0.5687)  2 Zn 2.78-2.89, 3 Nd 2.96-3.04
Ge (0.3931, 0.7120, 0.0655)  8 Nd 3.04-3.27, 1 Ge 3.31
Ge (0.6069, 0.2880, 0.9345)  8 Nd 3.04-3.27, 1 Ge 3.31

***

First-principles (PBE-GGA) data for a relaxed Nd2ZnGe3 crystal, as listed in Alexandria.

Values from the calculation:
**ρ**: 7.14 Mg/m³
**DFT formation energy**: -647 meV per atom

a b c (Å): 8.5628 8.5082 5.9929
angles (deg): 69.94 68.96 41.10
With the nearest neighbours (Å) after each atom.
Positions (direct):
Nd (0.2429, 0.7571, 0.7571)  10 Ge 3.23-3.25, 2 Zn 3.27
Nd (0.2500, 0.2500, 0.2500)  8 Ge 3.22-3.23, 4 Zn 3.24
Nd (0.7500, 0.7500, 0.7500)  8 Ge 3.22-3.23, 4 Zn 3.24
Nd (0.7571, 0.2429, 0.2429)  10 Ge 3.23-3.25, 2 Zn 3.27
Zn (0.3337, 0.3337, 0.6663)  3 Ge 2.41-2.43
Zn (0.6663, 0.6663, 0.3337)  3 Ge 2.41-2.43
Ge (0.1696, 0.1696, 0.8304)  1 Zn 2.43, 2 Ge 2.55
Ge (0.1732, 0.6581, 0.3419)  1 Zn 2.41, 2 Ge 2.50-2.55
Ge (0.3419, 0.8268, 0.1732)  1 Zn 2.41, 2 Ge 2.50-2.55
Ge (0.6581, 0.1732, 0.8268)  1 Zn 2.41, 2 Ge 2.50-2.55
Ge (0.8268, 0.3419, 0.6581)  1 Zn 2.41, 2 Ge 2.50-2.55
Ge (0.8304, 0.8304, 0.1696)  1 Zn 2.43, 2 Ge 2.55

***

The highest DFT formation energy belongs to which entry?
NdZn3Ge2